(1)
B2TeOs | Alexandria | GGA-PBEsol | optimized geometry; symmetry = I-42d; uncorrected formation energy = 255.9 kJ/mol of formula units; total moment = 0.0 μB per formula unit
1.0
-2.521 2.521 5.012
2.521 -2.521 5.012
2.521 2.521 -5.012
B Te Os
4 2 2
direct
0.071 0.625 0.946
0.375 0.321 0.446
0.679 0.125 0.054
0.875 0.929 0.554
0.250 0.750 0.500
0.500 0.500 0.000
0.000 0.000 0.000
0.750 0.250 0.500



(2)
BTeOs3 | Alexandria | GGA-PBEsol | optimized geometry; symmetry = Pm-3m; uncorrected formation energy = 327.9 kJ/mol of formula units; total moment = 0.0 μB per formula unit; energy relative to the lowest polymorph listed for this composition = 0 meV/atom
1.0
4.161 0.000 0.000
0.000 4.161 0.000
0.000 0.000 4.161
B Te Os
1 1 3
direct
0.000 0.000 0.000
0.500 0.500 0.500
0.000 0.000 0.500
0.000 0.500 0.000
0.500 0.000 0.000



(3)
Ti2BTeOs | Alexandria | GGA-PBEsol | optimized geometry; symmetry = P4/mmm; uncorrected formation energy = 1037.5 kJ/mol of formula units; total moment = 1.2 μB per formula unit
1.0
4.895 0.000 0.000
0.000 4.895 0.000
0.000 0.000 4.735
Ti B Te Os
2 1 1 1
direct
0.000 0.500 0.000
0.500 0.000 0.000
0.000 0.000 0.500
0.500 0.500 0.000
0.500 0.500 0.500



(4)
ThB2Os2 | Alexandria | GGA-PBEsol | optimized geometry; DFT formation energy = -0.506 eV per atom; symmetry = Fddd; total moment = 0.0 μB per formula unit
1.0
0.000 4.517 5.035
3.283 0.000 5.035
3.283 4.517 0.000
Th B Os
2 4 4
direct
0.125 0.125 0.125
0.875 0.875 0.875
0.191 0.559 0.191
0.441 0.809 0.441
0.559 0.191 0.559
0.809 0.441 0.809
0.238 0.238 0.512
0.488 0.488 0.762
0.512 0.512 0.238
0.762 0.762 0.488



(5)
Ti2B2Os | Alexandria | GGA-PBEsol | optimized geometry; DFT formation energy = -0.945 eV per atom; symmetry = P4/mbm; total moment = 0.0 μB per formula unit
1.0
5.832 0.000 0.000
0.000 5.832 0.000
0.000 0.000 3.170
Ti B Os
4 4 2
direct
0.177 0.323 0.000
0.323 0.823 0.000
0.677 0.177 0.000
0.823 0.677 0.000
0.111 0.611 0.500
0.389 0.111 0.500
0.611 0.889 0.500
0.889 0.389 0.500
0.000 0.000 0.500
0.500 0.500 0.500



(6)
B2OsW2 | Alexandria | GGA-PBEsol | optimized geometry; DFT formation energy = -0.313 eV per atom; symmetry = Pnnm; total moment = 0.0 μB per formula unit; energy relative to the lowest polymorph listed for this composition = 0 meV/atom
1.0
7.539 0.000 0.000
0.000 9.621 0.000
0.000 0.000 3.061
B Os W
8 4 8
direct
0.116 0.039 0.000
0.124 0.232 0.000
0.376 0.732 0.500
0.384 0.539 0.500
0.616 0.461 0.500
0.624 0.268 0.500
0.876 0.768 0.000
0.884 0.961 0.000
0.118 0.393 0.500
0.382 0.893 0.000
0.618 0.107 0.000
0.882 0.607 0.500
0.074 0.860 0.500
0.192 0.631 0.000
0.308 0.131 0.500
0.426 0.360 0.000
0.574 0.640 0.000
0.692 0.869 0.500
0.808 0.369 0.000
0.926 0.140 0.500



| no. | D(E_F) (states/eV/f.u.) |
| --- | --- |
| 1 | 0.51 |
| 2 | 3.57 |
| 3 | 7.14 |
| 4 | 1.43 |
| 5 | 1.11 |
| 6 | 2.47 |